Record 1
Compound: MgP2Cl
Source: Alexandria via LeMat-Bulk
Functional: PBE
Structure: optimized geometry

Properties
energy relative to the elements, uncorrected = -0.0050 eV/atom

Lattice parameters (Å, degrees): 4.4562 9.4247 4.6386 90.00 90.00 90.00
With the nearest neighbours (Å) after each atom.
Fractional positions:
Mg 0.0000 0.0000 0.0000  2 Cl 2.23
Mg 0.5000 0.5000 0.0000  2 Cl 2.23
P 0.2500 0.2500 0.5000  2 P 2.23
P 0.2500 0.7500 0.5000  2 P 2.23
P 0.7500 0.2500 0.5000  2 P 2.23
P 0.7500 0.7500 0.5000  2 P 2.23
Cl 0.0000 0.5000 0.0000  2 Mg 2.23
Cl 0.5000 0.0000 0.0000  2 Mg 2.23

=====

Record 2
Compound: Pa3GeH
Source: Alexandria via LeMat-Bulk
Functional: PBE
Structure: optimized geometry

Lattice parameters (Å, degrees): 7.7411 6.0183 10.4441 90.00 126.72 90.00
With the nearest neighbours (Å) after each atom.
Fractional positions:
Pa 0.0962 0.0753 0.3638  2 H 2.23-2.26
Pa 0.0962 0.4247 0.8638  2 H 2.23-2.26
Pa 0.2138 0.5823 0.5209  1 H 2.20
Pa 0.2138 0.9177 0.0209  1 H 2.20
Pa 0.3373 0.2400 0.7625  1 H 2.22
Pa 0.3373 0.2600 0.2625  1 H 2.22
Pa 0.6627 0.7400 0.7375  1 H 2.22
Pa 0.6627 0.7600 0.2375  1 H 2.22
Pa 0.7862 0.0823 0.9791  1 H 2.20
Pa 0.7862 0.4177 0.4791  1 H 2.20
Pa 0.9038 0.5753 0.1362  2 H 2.23-2.26
Pa 0.9038 0.9247 0.6362  2 H 2.23-2.26
Ge 0.4068 0.7451 0.8643  10 Pa 2.97-3.30
Ge 0.4068 0.7549 0.3643  10 Pa 2.97-3.30
Ge 0.5932 0.2451 0.6357  10 Pa 2.97-3.30
Ge 0.5932 0.2549 0.1357  10 Pa 2.97-3.30
H 0.0200 0.1561 0.5359  1 H 1.98, 1 Pa 2.20
H 0.0200 0.3439 0.0359  1 H 1.98, 1 Pa 2.20
H 0.9800 0.6561 0.9641  1 H 1.98, 1 Pa 2.20
H 0.9800 0.8439 0.4641  1 H 1.98, 1 Pa 2.20

=====

Record 3
Compound: Na4Pu3AgS8
Source: Alexandria via LeMat-Bulk
Functional: PBE
Structure: optimized geometry

Properties
energy relative to the elements, uncorrected = -1.2963 eV/atom

Lattice parameters (Å, degrees): 8.0580 8.0580 8.0580 59.24 59.24 59.24
With the nearest neighbours (Å) after each atom.
Fractional positions:
Na 0.0000 0.0000 0.0000  6 S 2.87
Na 0.0000 0.5000 0.5000  6 S 2.92-2.97
Na 0.5000 0.0000 0.5000  6 S 2.92-2.97
Na 0.5000 0.5000 0.0000  6 S 2.92-2.97
Pu 0.0000 0.0000 0.5000  6 S 2.70-2.75
Pu 0.0000 0.5000 0.0000  6 S 2.70-2.75
Pu 0.5000 0.0000 0.0000  6 S 2.70-2.75
Ag 0.5000 0.5000 0.5000  6 S 2.80
S 0.2299 0.7473 0.7473  2 Pu 2.70-2.71, 1 Ag 2.80, 3 Na 2.87-2.97
S 0.2424 0.2424 0.2424  3 Pu 2.75, 3 Na 2.92
S 0.2527 0.2527 0.7701  2 Pu 2.70, 1 Ag 2.80, 3 Na 2.87-2.97
S 0.2527 0.7701 0.2527  2 Pu 2.70, 1 Ag 2.80, 3 Na 2.87-2.97
S 0.7473 0.2299 0.7473  2 Pu 2.71, 1 Ag 2.80, 3 Na 2.87-2.97
S 0.7473 0.7473 0.2299  2 Pu 2.70-2.71, 1 Ag 2.80, 3 Na 2.87-2.97
S 0.7576 0.7576 0.7576  3 Pu 2.75, 3 Na 2.92
S 0.7701 0.2527 0.2527  2 Pu 2.70-2.71, 1 Ag 2.80, 3 Na 2.87-2.97

=====

Record 4
Compound: Sc2SiSe
Source: Alexandria via LeMat-Bulk
Functional: PBE
Structure: optimized geometry

Properties
energy relative to the elements, uncorrected = -1.1635 eV/atom

Lattice parameters (Å, degrees): 3.8679 3.8679 5.4501 90.00 90.00 90.00
With the nearest neighbours (Å) after each atom.
Fractional positions:
Sc 0.0000 0.0000 0.0000  2 Si 2.73, 4 Se 2.74
Sc 0.5000 0.5000 0.5000  2 Se 2.73, 4 Si 2.74
Si 0.0000 0.0000 0.5000  6 Sc 2.73-2.74
Se 0.5000 0.5000 0.0000  6 Sc 2.73-2.74

=====

Record 5
Compound: TiAsPRh2
Source: Alexandria via LeMat-Bulk
Functional: PBE
Structure: optimized geometry

Properties
energy relative to the elements = 0.78 eV per atom

Lattice parameters (Å, degrees): 4.5266 4.5266 4.8058 90.00 90.00 90.00
With the nearest neighbours (Å) after each atom.
Fractional positions:
Ti 0.0000 0.0000 0.0000  4 Rh 2.26, 2 As 2.40
As 0.0000 0.0000 0.5000  2 Ti 2.40
P 0.5000 0.5000 0.5000  4 As 3.20, 8 Rh 3.30
Rh 0.0000 0.5000 0.0000  2 Ti 2.26
Rh 0.5000 0.0000 0.0000  2 Ti 2.26

=====

Record 6
Compound: Dy2Zn5Pt3
Source: Alexandria via LeMat-Bulk
Functional: PBE
Structure: optimized geometry

Properties
energy relative to the elements = -0.72 eV per atom

Lattice parameters (Å, degrees): 12.5206 12.5206 6.9250 90.00 90.00 160.33
With the nearest neighbours (Å) after each atom.
Fractional positions:
Dy 0.0222 0.9778 0.5000  5 Pt 2.81-3.12, 2 Zn 3.09
Dy 0.3226 0.6774 0.4275  4 Pt 2.95-3.06, 9 Zn 3.04-3.19
Dy 0.6774 0.3226 0.9275  4 Pt 2.95-3.06, 9 Zn 3.04-3.19
Dy 0.9778 0.0222 0.0000  5 Pt 2.81-3.12, 2 Zn 3.09
Zn 0.1040 0.8960 0.1416  1 Zn 2.60, 3 Pt 2.60-2.66
Zn 0.2041 0.7959 0.6031  4 Pt 2.55-2.63, 1 Zn 2.64
Zn 0.2068 0.7932 0.2220  3 Pt 2.59-2.61, 2 Zn 2.60-2.64
Zn 0.3723 0.6277 0.9777  4 Pt 2.66-2.92, 2 Zn 2.98
Zn 0.4463 0.5537 0.3254  4 Pt 2.60-2.70
Zn 0.5537 0.4463 0.8254  4 Pt 2.60-2.70
Zn 0.6277 0.3723 0.4777  4 Pt 2.66-2.92, 2 Zn 2.98
Zn 0.7932 0.2068 0.7220  3 Pt 2.59-2.61, 2 Zn 2.60-2.64
Zn 0.7959 0.2041 0.1031  4 Pt 2.55-2.63, 1 Zn 2.64
Zn 0.8960 0.1040 0.6416  1 Zn 2.60, 3 Pt 2.60-2.66
Pt 0.1103 0.8897 0.7581  4 Zn 2.55-2.66, 1 Dy 2.81
Pt 0.2661 0.7339 0.9093  7 Zn 2.59-2.66
Pt 0.4523 0.5477 0.7144  5 Zn 2.60-2.70
Pt 0.5477 0.4523 0.2144  5 Zn 2.60-2.70
Pt 0.7339 0.2661 0.4093  7 Zn 2.59-2.66
Pt 0.8897 0.1103 0.2581  4 Zn 2.55-2.66, 1 Dy 2.81

=====

Taking the records one at a time from the top gives E values of -3.570; -7.452; -6.555; -6.556; -5.755; -4.092 eV/atom.